{"formula": "KPt2W", "functional": "PBE", "state": "optimized geometry", "cell": [[2.792, 0.054, 0.000], [-0.061, 2.792, 0.000], [0.000, 0.000, 9.858]], "species": ["Pt", "W", "Pt", "K"], "fractional_positions": [[0.500, 0.500, 0.249], [0.000, 0.000, 0.442], [0.000, 0.000, 0.035], [0.500, 0.500, 0.775]], "de_polymorph_mev_per_atom": 418, "energy_ev_per_atom": -6.1012, "m_tot_mub_per_cell": 0.00, "density_g_cm3": 13.24, "delta_e_f_ev_per_atom": 0.432}